Record 1
This record from Alexandria via LeMat-Bulk describes CePa2B9 after structural relaxation. The functional is PBE.

a = 4.386 Å, b = 4.386 Å, c = 9.666 Å
α = 76.89°, β = 76.89°, γ = 60.00°
Element x y z (fractional)
B 0.391 0.391 0.195
B 0.976 0.609 0.805
B 0.609 0.609 0.805
B 0.591 0.591 0.227
B 0.609 0.976 0.805
B 0.391 0.024 0.195
B 0.409 0.409 0.773
B 0.500 0.500 0.500
B 0.024 0.391 0.195
Pa 0.120 0.120 0.639
Pa 0.880 0.880 0.361
Ce 0.000 0.000 0.000

Theoretical density: 7.48 Mg/m³
SG: R-3m
Total magnetization: 1.107 μB per formula unit
Volume: 12.9 Å³ per atom
E_form: -0.1820 eV per atom
Total DFT energy (no corrections): -7.27 eV per atom



Record 2
This record from Alexandria via LeMat-Bulk describes CePaB after structural relaxation. The functional is PBE.

a = 3.976 Å, b = 4.075 Å, c = 4.075 Å
α = 120.00°, β = 90.00°, γ = 90.00°
Element x y z (fractional)
B 0.020 0.000 0.000
Pa 0.293 0.667 0.333
Ce 0.687 0.333 0.667

Theoretical density: 11.10 Mg/m³
SG: P3m1
Total magnetization: 0.000 μB per formula unit
Excess energy over the best structure of this formula in the dataset: 0.3040 eV/atom
Volume: 19.1 Å³ per atom
E_form: 0.1223 eV per atom
Total DFT energy (no corrections): -7.25 eV per atom



Record 3
This record from Alexandria via LeMat-Bulk describes Ce6BPb2 after structural relaxation. The functional is PBE.

a = 6.756 Å, b = 6.857 Å, c = 10.229 Å
α = 90.00°, β = 89.96°, γ = 90.00°
Element x y z (fractional)
Ce 0.000 0.000 0.255
Ce 0.783 0.748 0.000
Ce 0.500 0.500 0.245
Ce 0.283 0.752 0.500
Ce 0.000 0.000 0.745
Ce 0.217 0.748 0.000
Ce 0.717 0.752 0.500
Ce 0.500 0.500 0.755
Ce 0.283 0.248 0.500
Ce 0.783 0.252 0.000
Ce 0.717 0.248 0.500
Ce 0.217 0.252 0.000
B 0.000 0.000 0.500
B 0.500 0.500 0.000
Pb 0.500 0.000 0.760
Pb 0.500 0.000 0.240
Pb 0.000 0.500 0.260
Pb 0.000 0.500 0.740

Theoretical density: 8.87 Mg/m³
SG: Immm
Total magnetization: 4.777 μB per formula unit
Volume: 26.3 Å³ per atom
E_form: -0.2775 eV per atom
Total DFT energy (no corrections): -5.80 eV per atom



Record 4
This record from Alexandria via LeMat-Bulk describes Ce4B3Rh12Pb after structural relaxation. The functional is PBE.

a = 7.638 Å, b = 7.638 Å, c = 7.638 Å
α = 109.47°, β = 109.47°, γ = 109.47°
Element x y z (fractional)
Rh 0.000 0.717 0.717
Rh 0.750 0.250 0.500
Rh 0.750 0.500 0.250
Rh 0.717 0.000 0.717
Rh 0.500 0.750 0.250
Rh 0.283 0.000 0.283
Rh 0.250 0.500 0.750
Rh 0.283 0.283 0.000
Rh 0.500 0.250 0.750
Rh 0.000 0.283 0.283
Rh 0.250 0.750 0.500
Rh 0.717 0.717 0.000
Ce 0.500 0.000 0.000
Ce 0.500 0.500 0.500
Ce 0.000 0.500 0.000
Ce 0.000 0.000 0.500
B 0.500 0.000 0.500
B 0.000 0.500 0.500
B 0.500 0.500 0.000
Pb 0.000 0.000 0.000

Theoretical density: 9.85 Mg/m³
SG: Im-3m
Total magnetization: 1.639 μB per formula unit
Volume: 17.1 Å³ per atom
E_form: -0.4862 eV per atom
Total DFT energy (no corrections): -7.27 eV per atom



Record 5
This record from Alexandria via LeMat-Bulk describes CeBPd6 after structural relaxation. The functional is PBE.

a = 5.207 Å, b = 5.207 Å, c = 5.205 Å
α = 100.15°, β = 100.15°, γ = 100.16°
Element x y z (fractional)
Pd 0.592 0.215 0.215
Pd 0.215 0.215 0.592
Pd 0.215 0.592 0.215
Pd 0.785 0.408 0.785
Pd 0.408 0.785 0.785
Pd 0.785 0.785 0.408
B 0.500 0.500 0.500
Ce 0.000 0.000 0.000

Theoretical density: 9.81 Mg/m³
SG: R-3m
Total magnetization: 0.199 μB per formula unit
Volume: 16.7 Å³ per atom
E_form: -0.3337 eV per atom
Total DFT energy (no corrections): -5.80 eV per atom



Record 6
This record from Alexandria via LeMat-Bulk describes CeBPd after structural relaxation. The functional is PBE.

a = 3.228 Å, b = 3.927 Å, c = 8.016 Å
α = 75.82°, β = 90.00°, γ = 90.00°
Element x y z (fractional)
Pd 0.750 0.702 0.597
Pd 0.250 0.298 0.403
B 0.750 0.520 0.959
B 0.250 0.480 0.041
Ce 0.250 0.102 0.796
Ce 0.750 0.898 0.204

Theoretical density: 8.67 Mg/m³
SG: Cmcm
Total magnetization: 0.000 μB per formula unit
Volume: 16.4 Å³ per atom
E_form: -0.5177 eV per atom
Total DFT energy (no corrections): -6.45 eV per atom



Record 7
This record from Alexandria via LeMat-Bulk describes CeB3Pd4Pt12 after structural relaxation. The functional is PBE.

a = 7.578 Å, b = 7.578 Å, c = 7.578 Å
α = 109.47°, β = 109.47°, γ = 109.47°
Element x y z (fractional)
Pt 0.500 0.250 0.750
Pt 0.500 0.750 0.250
Pt 0.721 0.721 0.000
Pt 0.000 0.721 0.721
Pt 0.721 0.000 0.721
Pt 0.750 0.500 0.250
Pt 0.279 0.279 0.000
Pt 0.250 0.750 0.500
Pt 0.250 0.500 0.750
Pt 0.279 0.000 0.279
Pt 0.000 0.279 0.279
Pt 0.750 0.250 0.500
B 0.000 0.500 0.500
B 0.500 0.500 0.000
B 0.500 0.000 0.500
Ce 0.000 0.000 0.000
Pd 0.000 0.000 0.500
Pd 0.500 0.500 0.500
Pd 0.000 0.500 0.000
Pd 0.500 0.000 0.000

Theoretical density: 14.57 Mg/m³
SG: Im-3m
Total magnetization: 0.000 μB per formula unit
Volume: 16.8 Å³ per atom
E_form: 0.2473 eV per atom
Total DFT energy (no corrections): -5.71 eV per atom



Record 8
This record from Alexandria via LeMat-Bulk describes Ce2BPd4Pt2 after structural relaxation. The functional is PBE.

a = 6.039 Å, b = 6.039 Å, c = 6.039 Å
α = 89.99°, β = 120.01°, γ = 120.01°
Element x y z (fractional)
Pd 0.000 0.262 0.738
Pd 0.000 0.738 0.262
Pd 0.523 0.262 0.262
Pd 0.477 0.738 0.738
B 0.000 0.000 0.000
Pt 0.000 0.248 0.248
Pt 0.000 0.752 0.752
Ce 0.500 0.250 0.750
Ce 0.500 0.750 0.250

Theoretical density: 11.80 Mg/m³
SG: I4/mmm
Total magnetization: 1.318 μB per formula unit
Volume: 17.3 Å³ per atom
E_form: -0.7780 eV per atom
Total DFT energy (no corrections): -6.49 eV per atom